Run i
Entry from the Alexandria database: crystalline RbLaI3 at its relaxed geometry (PBE).

Cell lengths 4.482, 9.628, 11.420 Å; angles 97.89, 101.33, 103.46 degrees
Each line ends with the local moment (μB).
Sites, in units of the cell vectors:
La: 0.619 0.885 0.437  0.41
La: 0.877 0.661 0.177  0.41
I: 0.395 0.530 0.344  0.00
I: 0.180 0.808 0.634  0.00
I: 0.632 0.345 0.001  0.00
I: 0.101 0.015 0.270  0.00
I: 0.317 0.738 0.979  0.00
I: 0.865 0.201 0.612  0.00
Rb: 0.930 0.046 0.897  0.00
Rb: 0.567 0.500 0.716  0.00

Run ii
Entry from the Alexandria database: crystalline RbLaI3 at its relaxed geometry (PBE).

Cell lengths 7.964, 10.732, 10.732 Å; angles 72.29, 89.99, 90.01 degrees
Each line ends with the local moment (μB).
Sites, in units of the cell vectors:
La: 0.398 0.218 0.282  0.12
La: 0.898 0.282 0.218  0.12
La: 0.102 0.718 0.782  0.12
La: 0.602 0.782 0.718  0.12
I: 0.378 0.826 0.959  0.00
I: 0.721 0.053 0.447  0.00
I: 0.622 0.174 0.041  0.00
I: 0.221 0.447 0.053  0.00
I: 0.122 0.327 0.459  0.00
I: 0.779 0.553 0.947  0.00
I: 0.122 0.041 0.173  0.00
I: 0.378 0.541 0.674  0.00
I: 0.279 0.947 0.553  0.00
I: 0.878 0.673 0.541  0.00
I: 0.622 0.459 0.326  0.00
I: 0.878 0.959 0.827  0.00
Rb: 0.750 0.830 0.170  0.00
Rb: 0.750 0.330 0.670  0.00
Rb: 0.250 0.670 0.330  0.00
Rb: 0.250 0.170 0.830  0.00

Name the least stable of them. run ii.